1.
Density functional theory data (GGA-PBE) for a relaxed structure of TlCdSF.

Calculated values
Energy relative to the lowest polymorph listed for this composition ... 136 meV/atom
Uncorrected energy ... -105.3 eV per cell

```
TlCdSF
1.0
9.970 0.000 0.000
0.000 18.549 0.000
0.000 0.000 4.068
Tl Cd S F
8 8 8 8
Direct
0.033 0.236 0.000
0.247 0.870 0.000
0.253 0.370 0.000
0.467 0.736 0.000
0.533 0.264 0.000
0.747 0.630 0.000
0.753 0.130 0.000
0.967 0.764 0.000
0.097 0.591 0.500
0.098 0.072 0.500
0.402 0.572 0.500
0.403 0.091 0.500
0.597 0.909 0.500
0.598 0.428 0.500
0.902 0.928 0.500
0.903 0.409 0.500
0.225 0.191 0.500
0.229 0.474 0.500
0.271 0.974 0.500
0.275 0.691 0.500
0.725 0.309 0.500
0.729 0.026 0.500
0.771 0.526 0.500
0.775 0.809 0.500
0.002 0.920 0.000
0.006 0.606 0.000
0.494 0.106 0.000
0.498 0.420 0.000
0.502 0.580 0.000
0.506 0.894 0.000
0.994 0.394 0.000
0.998 0.080 0.000
```

2.
Density functional theory data (GGA-PBE) for a relaxed structure of TlCdSF.

Calculated values
Energy relative to the lowest polymorph listed for this composition ... 39 meV/atom
Uncorrected energy ... -27.1 eV per cell

```
TlCdSF
1.0
4.424 0.000 0.000
0.000 4.424 0.000
0.000 0.000 9.741
Tl Cd S F
2 2 2 2
Direct
0.250 0.250 0.134
0.750 0.750 0.866
0.250 0.750 0.500
0.750 0.250 0.500
0.250 0.250 0.644
0.750 0.750 0.356
0.250 0.750 0.000
0.750 0.250 0.000
```

3.
Density functional theory data (GGA-PBE) for a relaxed structure of TlCdSF.

Calculated values
Energy relative to the lowest polymorph listed for this composition ... 57 meV/atom
Uncorrected energy ... -107.8 eV per cell

```
TlCdSF
1.0
10.300 0.000 0.000
0.000 19.145 0.000
0.000 0.000 4.308
Tl Cd S F
8 8 8 8
Direct
0.148 0.234 0.000
0.221 0.030 0.000
0.279 0.530 0.000
0.352 0.734 0.000
0.648 0.266 0.000
0.721 0.470 0.000
0.779 0.970 0.000
0.852 0.766 0.000
0.008 0.386 0.500
0.147 0.881 0.500
0.353 0.381 0.500
0.492 0.886 0.500
0.508 0.114 0.500
0.647 0.619 0.500
0.853 0.119 0.500
0.992 0.614 0.500
0.037 0.890 0.000
0.084 0.649 0.000
0.416 0.149 0.000
0.463 0.390 0.000
0.537 0.610 0.000
0.584 0.851 0.000
0.916 0.351 0.000
0.963 0.110 0.000
0.177 0.462 0.500
0.186 0.309 0.500
0.314 0.809 0.500
0.323 0.962 0.500
0.677 0.038 0.500
0.686 0.191 0.500
0.814 0.691 0.500
0.823 0.538 0.500
```